This record from Alexandria describes crystalline LiAc3Pd7 at its relaxed geometry. The functional is PBE.

Lattice parameters (Å, degrees): 4.247 20.778 11.511 90.00 90.00 90.00
Space group Cmcm (No. 63)
One atom of each set of equivalent atoms:
Li  0.000  0.044  0.250 x4
Ac  0.000  0.103  0.557 x8
Ac  0.000  0.218  0.250 x4
Pd  0.000  0.286  0.026 x8
Pd  0.000  0.371  0.250 x4
Pd  0.000  0.378  0.636 x8
Pd  0.000  0.492  0.126 x8

V: 23.086 Å³ per atom
formation enthalpy at 0 K: -0.6220 eV per atom
density of states at the Fermi level: 14.61 states/eV per cell